Here is a relaxed structure of SbP2O7 from Alexandria via LeMat-Bulk. Energies are from PBEsol.

Structure (POSCAR):
```
SbP2O7
1.0
-3.977 -0.532 -6.973
-6.543 -2.684 3.937
-5.199 15.309 1.797
O P Sb
56 16 8
Direct
0.358 0.488 0.848
0.642 0.988 0.152
0.858 0.488 0.652
0.142 0.988 0.348
0.476 0.373 0.983
0.524 0.873 0.017
0.976 0.373 0.517
0.024 0.873 0.483
0.579 0.140 0.718
0.421 0.640 0.282
0.079 0.140 0.782
0.921 0.640 0.218
0.445 0.190 0.855
0.555 0.690 0.145
0.945 0.190 0.645
0.055 0.690 0.355
0.253 0.236 0.665
0.747 0.736 0.335
0.753 0.236 0.835
0.247 0.736 0.165
0.035 0.524 0.073
0.965 0.024 0.927
0.535 0.524 0.427
0.465 0.024 0.573
0.301 0.776 0.431
0.699 0.276 0.569
0.801 0.776 0.069
0.199 0.276 0.931
0.452 0.720 0.591
0.548 0.220 0.409
0.952 0.720 0.909
0.048 0.220 0.091
0.367 0.446 0.164
0.633 0.946 0.836
0.867 0.446 0.336
0.133 0.946 0.664
0.994 0.466 0.824
0.006 0.966 0.176
0.494 0.466 0.676
0.506 0.966 0.324
0.441 0.740 0.744
0.559 0.240 0.256
0.941 0.740 0.756
0.059 0.240 0.244
0.125 0.836 0.021
0.875 0.336 0.979
0.625 0.836 0.479
0.375 0.336 0.521
0.274 0.367 0.375
0.726 0.867 0.625
0.774 0.367 0.125
0.226 0.867 0.875
0.208 0.595 0.663
0.792 0.095 0.337
0.708 0.595 0.837
0.292 0.095 0.163
0.423 0.367 0.430
0.577 0.867 0.570
0.923 0.367 0.070
0.077 0.867 0.930
0.609 0.128 0.326
0.391 0.628 0.674
0.109 0.128 0.174
0.891 0.628 0.826
0.393 0.622 0.188
0.607 0.122 0.812
0.893 0.622 0.312
0.107 0.122 0.688
0.625 0.845 0.092
0.375 0.345 0.908
0.125 0.845 0.408
0.875 0.345 0.592
0.518 0.748 0.379
0.482 0.248 0.621
0.018 0.748 0.121
0.982 0.248 0.879
0.516 0.227 0.129
0.484 0.727 0.871
0.016 0.227 0.371
0.984 0.727 0.629
```

Computed properties:
Energy relative to the elements, uncorrected ... -185.3 kJ per mole of atoms
Calculated density ... 3.71 Mg/m³
Calculated total energy ... -7.209 eV/atom
Symmetry ... Pna2_1
Relative energy among the computed polymorphs ... 0.0 meV per atom

---

Here is a relaxed structure of SbPO5 from Alexandria via LeMat-Bulk. Energies are from PBEsol.

Structure (POSCAR):
```
SbPO5
1.0
6.887 0.010 0.000
-3.223 6.087 0.000
-1.832 -3.048 8.298
Sb P O
4 4 20
Direct
0.380 0.630 0.250
0.380 0.130 0.750
0.380 0.130 0.250
0.880 0.130 0.750
0.541 0.541 0.570
0.220 0.720 0.930
0.970 0.970 0.430
0.791 0.291 0.070
0.730 0.752 0.321
0.180 0.180 0.849
0.645 0.358 0.961
0.002 0.480 0.821
0.101 0.080 0.321
0.116 0.902 0.539
0.581 0.081 0.651
0.331 0.331 0.151
0.430 0.930 0.349
0.030 0.509 0.179
0.431 0.409 0.679
0.330 0.851 0.821
0.759 0.780 0.679
0.827 0.113 0.961
0.363 0.577 0.461
0.152 0.866 0.039
0.608 0.395 0.461
0.398 0.684 0.039
0.659 0.181 0.179
0.934 0.148 0.539
```

Computed properties:
Energy relative to the elements, uncorrected ... -168.9 kJ per mole of atoms
Calculated density ... 4.44 Mg/m³
Calculated total energy ... -6.978 eV/atom
Symmetry ... Fddd
Relative energy among the computed polymorphs ... 39.7 meV per atom